1.
Here is crystalline ErTc2W at its relaxed geometry from Alexandria via LeMat-Bulk. Energies are from PBE-GGA.

Lattice parameters (Å, degrees): 4.598 4.598 3.219 90.00 90.00 90.00
Element x y z (fractional)
Er 0.000 0.000 0.000
Tc 0.000 0.500 0.500
Tc 0.500 0.000 0.500
W 0.500 0.500 0.000

Calculated values
As for the formation energy: 26 kJ/mol of formula units. Its total energy is -9.496 eV per atom. For the size of the total moment, the calculation gives 0.0 μB/f.u.



2.
Here is crystalline TlC2 at its relaxed geometry from Alexandria via LeMat-Bulk. Energies are from PBE-GGA.

Lattice parameters (Å, degrees): 9.051 9.051 4.570 90.00 90.00 163.04
Element x y z (fractional)
Tl 0.133 0.867 0.000
Tl 0.867 0.133 0.000
C 0.000 0.000 0.500
C 0.451 0.549 0.500
C 0.500 0.500 0.000
C 0.549 0.451 0.500

Calculated values
As for the formation energy: 677 kJ/mol of formula units. Its total energy is -4.600 eV per atom. For the size of the total moment, the calculation gives 0.0 μB/f.u.